The following is a DFT calculation (GGA+U) of a relaxed structure of Si2NiGeO.

Geometry as POSCAR:
```
Si2NiGeO
1.0
4.7000 0.0000 0.0000
0.0000 4.2684 0.0000
0.0000 0.0000 4.7000
O Si Ni Ge
1 2 1 1
Cartesian
2.3500 2.1342 2.3500 O
0.0000 0.0000 2.3500 Si
2.3500 0.0000 0.0000 Si
0.0000 2.1342 0.0000 Ni
0.0000 0.0000 0.0000 Ge
```

Properties
For the energy, the calculation gives -15.86 eV for the cell shown. Its space group is No. 123. For the spin magnetization, the calculation gives 0.00 μB/cell.